(1)
Density functional theory data (PBE) for a relaxed structure of PaTlCd.

Properties
The value obtained for the total magnetization is 1.4 μB/cell. The calculation puts the density at 12.11 Mg/m³. The calculation puts the energy at -24.4 eV/cell. The relative energy among the computed polymorphs comes out at 21 meV/atom.

Lattice parameters (Å, degrees): 3.1534 3.1534 15.1038 90.00 90.00 90.00
With the nearest neighbours (Å) after each atom.
Atoms (fractional coordinates):
Pa: 0.0000 0.0000 0.0000  4 Pa 3.15, 4 Cd 3.34, 4 Tl 3.42
Pa: 0.5000 0.5000 0.5000  4 Pa 3.15, 4 Cd 3.34, 4 Tl 3.42
Tl: 0.0000 0.0000 0.6716  4 Tl 3.15, 4 Cd 3.33, 4 Pa 3.42
Tl: 0.5000 0.5000 0.1716  4 Tl 3.15, 4 Cd 3.33, 4 Pa 3.42
Cd: 0.0000 0.0000 0.3354  4 Cd 3.15, 4 Tl 3.33, 4 Pa 3.34
Cd: 0.5000 0.5000 0.8354  4 Cd 3.15, 4 Tl 3.33, 4 Pa 3.34


(2)
Density functional theory data (PBE) for a relaxed structure of MnNbCr3.

Properties
The value obtained for the total magnetization is 0.7 μB/cell. The calculation puts the density at 6.86 Mg/m³. The calculation puts the energy at -43.5 eV/cell. The relative energy among the computed polymorphs comes out at 0 meV/atom.

Lattice parameters (Å, degrees): 4.1890 4.1890 4.1890 90.00 90.00 90.00
With the nearest neighbours (Å) after each atom.
Atoms (fractional coordinates):
Mn: 0.0000 0.0000 0.0000  6 Cr 2.09
Nb: 0.5000 0.5000 0.5000  12 Cr 2.96
Cr: 0.0000 0.0000 0.5000  2 Mn 2.09
Cr: 0.0000 0.5000 0.0000  2 Mn 2.09
Cr: 0.5000 0.0000 0.0000  2 Mn 2.09


(3)
Density functional theory data (PBE) for a relaxed structure of LiMn2Ni.

Properties
The value obtained for the total magnetization is 0.6 μB/cell. The calculation puts the density at 6.21 Mg/m³. The calculation puts the energy at -25.5 eV/cell.

Lattice parameters (Å, degrees): 2.9970 3.8662 4.0512 90.00 90.00 90.00
With the nearest neighbours (Å) after each atom.
Atoms (fractional coordinates):
Li: 0.0000 0.0000 0.0000  4 Ni 2.45, 4 Mn 2.52
Mn: 0.0000 0.5000 0.5000  4 Mn 2.45, 4 Ni 2.52
Mn: 0.5000 0.0000 0.5000  4 Mn 2.45, 4 Li 2.52
Ni: 0.5000 0.5000 0.0000  4 Li 2.45, 4 Mn 2.52


(4)
Density functional theory data (PBE) for a relaxed structure of DyErGeIr.

Properties
The value obtained for the total magnetization is 0.0 μB/cell. The calculation puts the density at 11.19 Mg/m³. The calculation puts the energy at -52.3 eV/cell. The relative energy among the computed polymorphs comes out at 0 meV/atom.

Lattice parameters (Å, degrees): 4.0735 4.0816 10.6162 90.00 90.00 90.00
With the nearest neighbours (Å) after each atom.
Atoms (fractional coordinates):
Dy: 0.0000 0.0000 0.0000  3 Ir 2.93-3.14, 4 Ge 2.98
Dy: 0.0000 0.5000 0.5000  3 Ir 2.93-3.14, 4 Ge 2.98
Er: 0.5000 0.0000 0.2813  4 Ir 2.95, 3 Ge 3.04-3.06
Er: 0.5000 0.5000 0.7813  4 Ir 2.95, 3 Ge 3.04-3.06
Ge: 0.5000 0.0000 0.5692  2 Ir 2.62
Ge: 0.5000 0.5000 0.0692  2 Ir 2.62
Ir: 0.0000 0.0000 0.7242  2 Ge 2.62, 1 Dy 2.93
Ir: 0.0000 0.5000 0.2242  2 Ge 2.62, 1 Dy 2.93


(5)
Density functional theory data (PBE) for a relaxed structure of Pm3Dy2Y8.

Properties
The value obtained for the total magnetization is 0.0 μB/cell. The calculation puts the density at 5.52 Mg/m³. The calculation puts the energy at -72.0 eV/cell. The relative energy among the computed polymorphs comes out at 227 meV/atom.

Lattice parameters (Å, degrees): 10.7912 10.7912 5.6878 90.07 90.07 41.93
With the nearest neighbours (Å) after each atom.
Atoms (fractional coordinates):
Pm: 0.0000 0.0000 0.0000  4 Y 3.13
Pm: 0.2904 0.7096 0.5000  3 Pm 3.24-3.62, 6 Y 3.52-3.59
Pm: 0.7096 0.2904 0.5000  3 Pm 3.24-3.62, 6 Y 3.52-3.59
Dy: 0.2413 0.2413 0.9980  8 Y 3.33-3.57
Dy: 0.7587 0.7587 0.0020  8 Y 3.33-3.57
Y: 0.1347 0.1347 0.4993  4 Pm 3.52-3.94, 2 Dy 3.56-3.57, 7 Y 3.66-3.94
Y: 0.1823 0.6011 0.9996  1 Pm 3.13, 1 Y 3.23, 2 Dy 3.44-3.50
Y: 0.3274 0.3274 0.4984  2 Dy 3.33, 4 Y 3.51-3.52
Y: 0.3989 0.8177 0.0004  1 Pm 3.13, 1 Y 3.23, 2 Dy 3.44-3.50
Y: 0.6011 0.1823 0.9996  1 Pm 3.13, 1 Y 3.23, 2 Dy 3.44-3.50
Y: 0.6726 0.6726 0.5016  2 Dy 3.33, 4 Y 3.51-3.52
Y: 0.8177 0.3989 0.0004  1 Pm 3.13, 1 Y 3.23, 2 Dy 3.44-3.50
Y: 0.8653 0.8653 0.5007  4 Pm 3.52-3.94, 2 Dy 3.56-3.57, 7 Y 3.66-3.94


(6)
Density functional theory data (PBE) for a relaxed structure of Ac2AlNi3Ge4.

Properties
The value obtained for the total magnetization is 0.0 μB/cell. The calculation puts the density at 8.28 Mg/m³. The calculation puts the energy at -54.0 eV/cell.

Lattice parameters (Å, degrees): 4.2689 4.2689 10.4234 90.00 90.00 90.00
With the nearest neighbours (Å) after each atom.
Atoms (fractional coordinates):
Ac: 0.0000 0.5000 0.2410  8 Ge 3.26-3.30, 6 Ni 3.27-3.44, 2 Al 3.44
Ac: 0.5000 0.0000 0.7590  8 Ge 3.26-3.30, 6 Ni 3.27-3.44, 2 Al 3.44
Al: 0.0000 0.0000 0.5000  4 Ge 2.59
Ni: 0.0000 0.5000 0.8806  5 Ge 2.47-2.50
Ni: 0.5000 0.0000 0.1194  5 Ge 2.47-2.50
Ni: 0.5000 0.5000 0.5000  4 Ge 2.59
Ge: 0.0000 0.0000 0.0000  4 Ni 2.47
Ge: 0.0000 0.5000 0.6405  3 Ni 2.50-2.59, 2 Al 2.59
Ge: 0.5000 0.0000 0.3595  3 Ni 2.50-2.59, 2 Al 2.59
Ge: 0.5000 0.5000 0.0000  4 Ni 2.47